First-principles (PBE+U) data for a geometry-optimized VBiPbO5 structure, as listed in Alexandria via LeMat-Bulk.

Results
Energy above the lowest structure with this stoichiometry, eV per formula unit: 0.00
Total moment, μB per cell: 0.00
D(E_F), states/eV/atom: 0.000

a = 6.0737 Å, b = 7.2916 Å, c = 7.2680 Å
α = 104.18°, β = 100.84°, γ = 111.11°
With the nearest neighbours (Å) after each atom.
Sites, in units of the cell vectors:
V (0.3895, 0.6669, 0.6167)  4 O 1.73-1.77
V (0.7673, 0.4210, 0.9286)  4 O 1.73-1.77
Bi (0.9777, 0.0051, 0.0191)  5 O 2.14-2.39
Bi (0.1792, 0.0828, 0.5262)  5 O 2.14-2.39
Pb (0.7339, 0.3698, 0.3845)  3 O 2.40-2.55
Pb (0.4229, 0.7181, 0.1607)  3 O 2.40-2.55
O (0.3198, 0.1000, 0.2789)  2 Bi 2.14-2.28, 1 Pb 2.40
O (0.9500, 0.3279, 0.0595)  1 V 1.75
O (0.9656, 0.6725, 0.9494)  1 V 1.74
O (0.6182, 0.2635, 0.6752)  1 V 1.77
O (0.8370, 0.9879, 0.2664)  2 Bi 2.14-2.28, 1 Pb 2.40
O (0.5387, 0.8244, 0.8702)  1 V 1.77
O (0.6078, 0.6585, 0.4964)  1 V 1.73
O (0.5489, 0.4293, 0.0489)  1 V 1.73
O (0.2069, 0.7599, 0.4859)  1 V 1.75
O (0.1912, 0.4153, 0.5959)  1 V 1.74